The following is a DFT calculation (PBE) of an optimized crystal structure of NbTc3Ag.

Lattice parameters (Å, degrees): 4.683 4.683 4.683 90.00 90.00 90.00
Sites, in units of the cell vectors:
Nb (0.000, 0.000, 0.000)
Tc (0.000, 0.500, 0.500)
Tc (0.500, 0.000, 0.500)
Tc (0.500, 0.500, 0.000)
Ag (0.500, 0.500, 0.500)

formation energy from the elements	2.437	eV/atom
SG	No. 221

The following is a DFT calculation (PBE) of an optimized crystal structure of Li5Ac2Hg12.

Lattice parameters (Å, degrees): 7.717 7.717 7.717 80.63 80.63 80.63
Sites, in units of the cell vectors:
Li (0.000, 0.000, 0.500)
Li (0.000, 0.500, 0.000)
Li (0.096, 0.096, 0.096)
Li (0.500, 0.000, 0.000)
Li (0.904, 0.904, 0.904)
Ac (0.348, 0.348, 0.348)
Ac (0.652, 0.652, 0.652)
Hg (0.000, 0.292, 0.708)
Hg (0.000, 0.708, 0.292)
Hg (0.115, 0.660, 0.660)
Hg (0.292, 0.000, 0.708)
Hg (0.292, 0.708, 0.000)
Hg (0.340, 0.340, 0.885)
Hg (0.340, 0.885, 0.340)
Hg (0.660, 0.115, 0.660)
Hg (0.660, 0.660, 0.115)
Hg (0.708, 0.000, 0.292)
Hg (0.708, 0.292, 0.000)
Hg (0.885, 0.340, 0.340)

formation energy from the elements	-0.315	eV/atom
SG	No. 166

The following is a DFT calculation (PBE) of an optimized crystal structure of Dy6TlSb2Te3.

Lattice parameters (Å, degrees): 9.807 9.807 8.841 102.98 102.98 25.58
Sites, in units of the cell vectors:
Dy (0.001, 0.001, 0.244)
Dy (0.330, 0.330, 0.423)
Dy (0.337, 0.337, 0.913)
Dy (0.663, 0.663, 0.087)
Dy (0.670, 0.670, 0.577)
Dy (0.999, 0.999, 0.756)
Tl (0.500, 0.500, 0.000)
Sb (0.166, 0.166, 0.334)
Sb (0.834, 0.834, 0.666)
Te (0.169, 0.169, 0.833)
Te (0.500, 0.500, 0.500)
Te (0.831, 0.831, 0.167)

SG	No. 12

Number 1: total energy -6.3669 eV/atom. Number 2: total energy -1.4422 eV/atom. Number 3: total energy -5.0767 eV/atom.